# 1
Here is a relaxed structure of LaNd2Pt9 from Alexandria. Energies are from PBE.

Energy of formation from the pure elements = -0.94 eV/atom
Total magnetization = 0.0 μB/f.u.

Cell: 9.4854 9.4854 9.4854 Å, 33.62 33.62 33.62°
Sites, in units of the cell vectors:
La 0.0000 0.0000 0.0000
Nd 0.1397 0.1397 0.1397
Nd 0.8603 0.8603 0.8603
Pt 0.0812 0.5866 0.5866
Pt 0.3328 0.3328 0.3328
Pt 0.4134 0.4134 0.9188
Pt 0.4134 0.9188 0.4134
Pt 0.5000 0.5000 0.5000
Pt 0.5866 0.0812 0.5866
Pt 0.5866 0.5866 0.0812
Pt 0.6672 0.6672 0.6672
Pt 0.9188 0.4134 0.4134



# 2
Here is a relaxed structure of Y6Er2TmTh3 from Alexandria. Energies are from PBE.

Energy of formation from the pure elements = 0.03 eV/atom
Total magnetization = 0.0 μB/f.u.

Cell: 6.1799 6.1799 11.7390 Å, 95.05 95.05 119.97°
Sites, in units of the cell vectors:
Y 0.0839 0.4171 0.7526
Y 0.2493 0.2493 0.2473
Y 0.4171 0.0839 0.7526
Y 0.5829 0.9161 0.2474
Y 0.7507 0.7507 0.7527
Y 0.9161 0.5829 0.2474
Er 0.3334 0.6666 0.5000
Er 0.6666 0.3334 0.5000
Tm 0.0000 0.0000 0.5000
Th 0.1668 0.8332 0.0000
Th 0.5000 0.5000 0.0000
Th 0.8332 0.1668 0.0000



# 3
Here is a relaxed structure of Pr4SbTe2As from Alexandria. Energies are from PBE.

Calculated total energy = -5.712 eV/atom
Total magnetization = 0.0 μB/f.u.

Cell: 7.7514 4.4616 7.8497 Å, 90.00 109.16 90.00°
Sites, in units of the cell vectors:
Pr 0.2320 0.0000 0.2262
Pr 0.2446 0.5000 0.7671
Pr 0.7554 0.5000 0.2329
Pr 0.7680 0.0000 0.7738
Sb 0.5000 0.0000 0.0000
Te 0.0000 0.0000 0.5000
Te 0.5000 0.5000 0.5000
As 0.0000 0.5000 0.0000